a:
## Pr4Cd (PBE)

Data for a geometry-optimized Pr4Cd structure.

Calculated values
* crystal system: tetragonal
* M_tot: 0.00 μB per formula unit

a b c (Å): 3.7682 3.7682 23.6522
angles (deg): 90.00 90.00 90.00
Space group I4/mmm (No. 139)
Inequivalent atoms, fractional coordinates:
Pr  0.0000  0.0000  0.0869 x4
Pr  0.0000  0.0000  0.3046 x4
Cd  0.0000  0.0000  0.5000 x2


b:
## Pr4Cd (PBE)

Data for a geometry-optimized Pr4Cd structure.

Calculated values
* crystal system: monoclinic
* M_tot: 0.00 μB per formula unit

a b c (Å): 7.0321 18.5063 6.2161
angles (deg): 90.00 122.48 90.00
Space group C2/c (No. 15)
Inequivalent atoms, fractional coordinates:
Pr  0.1849  0.0802  0.1275 x8
Pr  0.2361  0.2889  0.2389 x8
Cd  0.0000  0.4397  0.2500 x4


a has the most favorable energy; the next structure is 12.5 kJ/mol of atoms above.


a:
## Pr4Cd3 (PBE)

Data for a geometry-optimized Pr4Cd3 structure.

Calculated values
* crystal system: trigonal
* M_tot: 0.01 μB per formula unit

a b c (Å): 14.7050 14.7050 6.7426
angles (deg): 90.00 90.00 120.00
Space group R-3 (No. 148, hexagonal axes)
Inequivalent atoms, fractional coordinates:
Pr  0.0000  0.0000  0.0000 x3
Pr  0.0000  0.0000  0.5000 x3
Pr  0.0500  0.8026  0.1759 x18
Cd  0.0492  0.8168  0.6816 x18


b:
## Pr4Cd3 (PBE)

Data for a geometry-optimized Pr4Cd3 structure.

Calculated values
* crystal system: trigonal
* M_tot: 0.88 μB per formula unit

a b c (Å): 5.4361 5.4361 26.0351
angles (deg): 90.00 90.00 120.00
Space group R-3m (No. 166, hexagonal axes)
Inequivalent atoms, fractional coordinates:
Pr  0.0000  0.0000  0.1175 x6
Pr  0.0000  0.0000  0.3703 x6
Cd  0.0000  0.0000  0.2449 x6
Cd  0.0000  0.0000  0.5000 x3


a has the most favorable energy; the next structure is 7.5 kJ/mol of atoms above.


a:
## PrCd6 (PBE)

Data for a geometry-optimized PrCd6 structure.

Calculated values
* crystal system: orthorhombic
* M_tot: 0.00 μB per formula unit

a b c (Å): 9.3302 6.0759 11.8287
angles (deg): 90.00 90.00 90.00
Space group Pnma (No. 62)
Inequivalent atoms, fractional coordinates:
Pr  0.2409  0.2500  0.0576 x4
Cd  0.0655  0.7500  0.0847 x4
Cd  0.0679  0.0156  0.3096 x8
Cd  0.1010  0.2500  0.5247 x4
Cd  0.1341  0.7500  0.8480 x4
Cd  0.1878  0.2500  0.7635 x4


b:
## PrCd6 (PBE)

Data for a geometry-optimized PrCd6 structure.

Calculated values
* crystal system: cubic
* M_tot: 0.00 μB per formula unit

a b c (Å): 7.6753 7.6753 7.6753
angles (deg): 90.00 90.00 90.00
Space group Im-3m (No. 229)
Inequivalent atoms, fractional coordinates:
Pr  0.0000  0.0000  0.0000 x2
Cd  0.0000  0.2500  0.5000 x12


a has the most favorable energy; the next structure is 49.8 kJ/mol of atoms above.


a:
## Pr2Cd3 (PBE)

Data for a geometry-optimized Pr2Cd3 structure.

Calculated values
* crystal system: trigonal
* M_tot: 0.00 μB per formula unit

a b c (Å): 5.1872 5.1872 17.8245
angles (deg): 90.00 90.00 120.00
Space group R-3m (No. 166, hexagonal axes)
Inequivalent atoms, fractional coordinates:
Pr  0.0000  0.0000  0.0955 x6
Cd  0.0000  0.0000  0.3131 x6
Cd  0.0000  0.0000  0.5000 x3


b:
## Pr2Cd3 (PBE)

Data for a geometry-optimized Pr2Cd3 structure.

Calculated values
* crystal system: orthorhombic
* M_tot: 0.00 μB per formula unit

a b c (Å): 3.5345 30.5614 5.0874
angles (deg): 90.00 90.00 90.00
Space group Cmcm (No. 63)
Inequivalent atoms, fractional coordinates:
Pr  0.0000  0.0732  0.2500 x4
Pr  0.0000  0.2129  0.7500 x4
Cd  0.0000  0.3275  0.7500 x4
Cd  0.0000  0.3806  0.2500 x4
Cd  0.0000  0.4766  0.2500 x4


b has the most favorable energy; the next structure is 4.1 kJ/mol of atoms above.


a:
## PrCd3Pt (PBE)

Data for a geometry-optimized PrCd3Pt structure.

Calculated values
* crystal system: tetragonal
* M_tot: 0.00 μB per formula unit

a b c (Å): 5.5439 5.5439 18.7279
angles (deg): 90.00 90.00 90.00
Space group I-4m2 (No. 119)
Inequivalent atoms, fractional coordinates:
Pr  0.0000  0.0000  0.1960 x4
Cd  0.0000  0.2460  0.6234 x8
Cd  0.0000  0.5000  0.0373 x4
Pt  0.0000  0.0000  0.5000 x2
Pt  0.0000  0.5000  0.7500 x2


b:
## PrCd3Pt (PBE)

Data for a geometry-optimized PrCd3Pt structure.

Calculated values
* crystal system: monoclinic
* M_tot: 0.00 μB per formula unit

a b c (Å): 5.5895 5.8764 7.6242
angles (deg): 90.00 111.28 90.00
Space group P2_1/m (No. 11)
Inequivalent atoms, fractional coordinates:
Pr  0.2186  0.2500  0.1241 x2
Cd  0.2049  0.0061  0.6940 x4
Cd  0.3455  0.7500  0.3995 x2
Pt  0.3451  0.7500  0.0335 x2


b has the most favorable energy; the next structure is 28.5 kJ/mol of atoms above.


a:
## Pr2CdPt (PBE)

Data for a geometry-optimized Pr2CdPt structure.

Calculated values
* crystal system: orthorhombic
* M_tot: 0.00 μB per formula unit

a b c (Å): 7.4426 3.7505 7.6255
angles (deg): 90.00 90.00 90.00
Space group Pmma (No. 51)
Inequivalent atoms, fractional coordinates:
Pr  0.0072  0.0000  0.2248 x4
Cd  0.2500  0.5000  0.5155 x2
Pt  0.2500  0.5000  0.9642 x2


b:
## Pr2CdPt (PBE)

Data for a geometry-optimized Pr2CdPt structure.

Calculated values
* crystal system: trigonal
* M_tot: 0.00 μB per formula unit

a b c (Å): 4.2860 4.2860 23.3532
angles (deg): 90.00 90.00 120.00
Space group R3m (No. 160, hexagonal axes)
Inequivalent atoms, fractional coordinates:
Pr  0.0000  0.0000  0.0000 x3
Pr  0.0000  0.0000  0.1988 x3
Cd  0.0000  0.0000  0.4336 x3
Pt  0.0000  0.0000  0.5980 x3


c:
## Pr2CdPt (PBE)

Data for a geometry-optimized Pr2CdPt structure.

Calculated values
* crystal system: trigonal
* M_tot: 0.00 μB per formula unit

a b c (Å): 4.1674 4.1674 24.4637
angles (deg): 90.00 90.00 120.00
Space group R-3m (No. 166, hexagonal axes)
Inequivalent atoms, fractional coordinates:
Pr  0.0000  0.0000  0.2349 x6
Cd  0.0000  0.0000  0.0000 x3
Pt  0.0000  0.0000  0.5000 x3


a has the most favorable energy; the next structure is 6.4 kJ/mol of atoms above.